No. 1
This record from Alexandria describes a relaxed structure of AgBiS3. The functional is GGA-PBE.

Summary:
The energy comes out at -3.372 eV per atom. The value obtained for the energy above the lowest structure with this stoichiometry is 51.0 kJ/mol of atoms. The value obtained for the uncorrected formation energy is 10.4 kcal/mol of atoms.

Unit cell a=4.812 b=4.812 c=4.812 alpha=90.00 beta=90.00 gamma=90.00
Positions (direct):
1 Bi 0.500 0.500 0.500
2 S 0.000 0.500 0.000
3 S 0.000 0.000 0.500
4 S 0.500 0.000 0.000
5 Ag 0.000 0.000 0.000

***

No. 2
This record from Alexandria describes a relaxed structure of AgBiS3. The functional is GGA-PBE.

Summary:
The energy comes out at -3.517 eV per atom. The value obtained for the energy above the lowest structure with this stoichiometry is 37.0 kJ/mol of atoms. The value obtained for the uncorrected formation energy is 7.1 kcal/mol of atoms.

Unit cell a=6.214 b=6.214 c=6.214 alpha=70.98 beta=70.98 gamma=70.98
Positions (direct):
1 S 0.626 0.175 0.175
2 S 0.175 0.626 0.175
3 Bi 0.201 0.201 0.201
4 Ag 0.947 0.947 0.947
5 S 0.175 0.175 0.626

***

No. 3
This record from Alexandria describes a relaxed structure of Ag2BiS2. The functional is GGA-PBE.

Summary:
The energy comes out at -3.610 eV per atom. The value obtained for the energy above the lowest structure with this stoichiometry is 0.0 kJ/mol of atoms. The value obtained for the uncorrected formation energy is -1.0 kcal/mol of atoms.

Unit cell a=4.089 b=4.186 c=7.848 alpha=105.47 beta=105.10 gamma=90.00
Positions (direct):
1 Ag 0.270 0.270 0.540
2 S 0.367 0.867 0.734
3 Bi 0.000 0.000 0.000
4 Ag 0.730 0.730 0.460
5 S 0.633 0.133 0.266